Pm3Tl3AsO8 | PBE | optimized geometry

abc: 6.9998 7.0028 7.7255
angles: 116.96 90.00 120.00
Sites, in units of the cell vectors:
Pm 0.5000 0.0000 0.5000
Pm 0.5000 0.5000 0.5000
Pm 0.0000 0.5000 0.5000
Tl 0.0000 0.0000 0.0000
Tl 0.0000 0.5000 0.0000
Tl 0.5000 0.5000 0.0000
As 0.0000 0.0000 0.5000
O 0.2752 0.5505 0.3258
O 0.7248 0.4495 0.6742
O 0.8014 0.6030 0.3386
O 0.1986 0.3970 0.6614
O 0.8014 0.0367 0.3386
O 0.1986 0.9633 0.6614
O 0.2350 0.0367 0.3385
O 0.7650 0.9633 0.6615

Calculated values
Spin magnetization = 0.00 μB per formula unit
Formation energy (no corrections) = -1955 meV/atom

Pm2Tl2AsO6 | PBE | optimized geometry

abc: 5.9518 5.9518 6.7729
angles: 97.13 97.13 119.58
Sites, in units of the cell vectors:
Pm 0.3345 0.6655 0.5000
Pm 0.6655 0.3345 0.5000
Tl 0.8397 0.1603 0.0000
Tl 0.1603 0.8397 0.0000
As 0.0000 0.0000 0.5000
O 0.7602 0.7602 0.6695
O 0.0450 0.3355 0.6598
O 0.2398 0.2398 0.3305
O 0.3355 0.0450 0.6598
O 0.9550 0.6645 0.3402
O 0.6645 0.9550 0.3402

Calculated values
Spin magnetization = 0.00 μB per formula unit
Formation energy (no corrections) = -1840 meV/atom

PmTlAs2O6 | PBE | optimized geometry

abc: 5.9018 5.9018 7.0962
angles: 65.43 65.43 60.00
Each line ends with the local moment (μB).
Sites, in units of the cell vectors:
Pm 0.5000 0.5000 0.5000  0.06
Tl 0.0000 0.0000 0.0000  0.01
As 0.7326 0.7326 0.8024  0.23
As 0.2674 0.2674 0.1976  0.23
O 0.0654 0.5158 0.7155  0.17
O 0.7033 0.0654 0.7155  0.17
O 0.4842 0.2967 0.2845  0.17
O 0.9346 0.4842 0.2845  0.17
O 0.2967 0.9346 0.2845  0.17
O 0.5158 0.7033 0.7155  0.17

Calculated values
Spin magnetization = 2.01 μB per formula unit
Formation energy (no corrections) = -1562 meV/atom

Q: spin magnetization of number 2 (Pm2Tl2AsO6)?
A: 0.00 μB per formula unit

Q: What is the formation energy (no corrections) in the third record?
A: -1562 meV/atom